AcZn3Au | GGA-PBE | relaxed

Unit cell a=4.9334 b=4.9334 c=4.9334 alpha=90.00 beta=90.00 gamma=90.00
With the nearest neighbours (Å) after each atom.
Atoms (fractional coordinates):
Ac 0.0000 0.0000 0.0000  12 Zn 3.49
Zn 0.0000 0.5000 0.5000  2 Au 2.47
Zn 0.5000 0.0000 0.5000  2 Au 2.47
Zn 0.5000 0.5000 0.0000  2 Au 2.47
Au 0.5000 0.5000 0.5000  6 Zn 2.47

Results
total moment	0.000	μB per cell
density of states at the Fermi level	0.9	states/eV/cell
space-group type	Pm-3m, No. 221
polymorph energy (0 for the lowest one)	0.240	eV per atom


AcZn6Au2 | GGA-PBE | relaxed

Unit cell a=8.5572 b=8.5572 c=8.5572 alpha=60.00 beta=60.00 gamma=60.00
With the nearest neighbours (Å) after each atom.
Atoms (fractional coordinates):
Ac 0.1250 0.1250 0.1250  6 Zn 3.16
Ac 0.8750 0.8750 0.8750  6 Zn 3.16
Zn 0.1364 0.1364 0.6136  2 Au 2.54
Zn 0.1364 0.6136 0.1364  2 Au 2.54
Zn 0.1364 0.6136 0.6136  2 Au 2.54
Zn 0.3864 0.3864 0.8636  2 Au 2.54
Zn 0.3864 0.8636 0.3864  2 Au 2.54
Zn 0.3864 0.8636 0.8636  2 Au 2.54
Zn 0.6136 0.1364 0.1364  2 Au 2.54
Zn 0.6136 0.1364 0.6136  2 Au 2.54
Zn 0.6136 0.6136 0.1364  2 Au 2.54
Zn 0.8636 0.3864 0.3864  2 Au 2.54
Zn 0.8636 0.3864 0.8636  2 Au 2.54
Zn 0.8636 0.8636 0.3864  2 Au 2.54
Au 0.0000 0.5000 0.5000  6 Zn 2.54
Au 0.5000 0.0000 0.5000  6 Zn 2.54
Au 0.5000 0.5000 0.0000  6 Zn 2.54
Au 0.5000 0.5000 0.5000  6 Zn 2.54

Results
total moment	0.000	μB per cell
density of states at the Fermi level	9.4	states/eV/cell
space-group type	Fd-3m, No. 227
polymorph energy (0 for the lowest one)	0.418	eV per atom


AcZn2Au | GGA-PBE | relaxed

Unit cell a=5.9722 b=5.9722 c=5.9722 alpha=44.18 beta=44.18 gamma=44.18
With the nearest neighbours (Å) after each atom.
Atoms (fractional coordinates):
Ac 0.0000 0.0000 0.0000  8 Zn 3.30-3.33
Zn 0.2065 0.2065 0.2065  3 Au 2.67, 3 Zn 2.89
Zn 0.7935 0.7935 0.7935  3 Au 2.67, 3 Zn 2.89
Au 0.5000 0.5000 0.5000  6 Zn 2.67

Results
total moment	0.000	μB per cell
density of states at the Fermi level	3.6	states/eV/cell
space-group type	R-3m, No. 166
polymorph energy (0 for the lowest one)	0.081	eV per atom


AcZn2Au3 | GGA-PBE | relaxed

Unit cell a=6.9467 b=6.9467 c=5.4449 alpha=90.00 beta=90.00 gamma=80.12
With the nearest neighbours (Å) after each atom.
Atoms (fractional coordinates):
Ac 0.1919 0.8081 0.7500  9 Au 3.30-3.51
Ac 0.8081 0.1919 0.2500  9 Au 3.30-3.51
Zn 0.2852 0.2852 0.0000  4 Au 2.60-2.71, 2 Zn 2.72
Zn 0.2852 0.2852 0.5000  4 Au 2.60-2.71, 2 Zn 2.72
Zn 0.7148 0.7148 0.0000  4 Au 2.60-2.71, 2 Zn 2.72
Zn 0.7148 0.7148 0.5000  4 Au 2.60-2.71, 2 Zn 2.72
Au 0.0333 0.6075 0.2500  2 Zn 2.60, 1 Au 2.78
Au 0.3925 0.9667 0.2500  2 Zn 2.60, 1 Au 2.78
Au 0.4394 0.5606 0.2500  4 Zn 2.71, 4 Au 2.78-2.93
Au 0.5606 0.4394 0.7500  4 Zn 2.71, 4 Au 2.78-2.93
Au 0.6075 0.0333 0.7500  2 Zn 2.60, 1 Au 2.78
Au 0.9667 0.3925 0.7500  2 Zn 2.60, 1 Au 2.78

Results
total moment	0.000	μB per cell
density of states at the Fermi level	5.0	states/eV/cell
space-group type	Cmcm, No. 63
uncorrected energy	-3.296	eV/atom


Ac2ZrAu | GGA-PBE | relaxed

Unit cell a=11.6296 b=11.6296 c=11.6296 alpha=18.13 beta=18.13 gamma=18.13
With the nearest neighbours (Å) after each atom.
Atoms (fractional coordinates):
Ac 0.0953 0.0953 0.0953  3 Au 3.23, 1 Zr 3.27
Ac 0.9047 0.9047 0.9047  3 Au 3.23, 1 Zr 3.27
Zr 0.0000 0.0000 0.0000  2 Ac 3.27
Au 0.5000 0.5000 0.5000  6 Ac 3.23

Results
total moment	0.970	μB per cell
density of states at the Fermi level	5.2	states/eV/cell
space-group type	R-3m, No. 166
uncorrected energy	-4.732	eV/atom


AcZrAu | GGA-PBE | relaxed

Unit cell a=4.7075 b=4.7075 c=7.6723 alpha=90.00 beta=90.00 gamma=90.00
With the nearest neighbours (Å) after each atom.
Atoms (fractional coordinates):
Ac 0.2500 0.2500 0.1349  5 Au 3.17-3.51
Ac 0.7500 0.7500 0.8651  5 Au 3.17-3.51
Zr 0.2500 0.7500 0.5000  4 Au 2.90
Zr 0.7500 0.2500 0.5000  4 Au 2.90
Au 0.2500 0.2500 0.7213  4 Zr 2.90, 1 Ac 3.17
Au 0.7500 0.7500 0.2787  4 Zr 2.90, 1 Ac 3.17

Results
total moment	0.000	μB per cell
density of states at the Fermi level	6.6	states/eV/cell
space-group type	P4/nmm, No. 129
polymorph energy (0 for the lowest one)	0.000	eV per atom


AcZrAu2 | GGA-PBE | relaxed

Unit cell a=5.1482 b=5.1482 c=3.7446 alpha=90.00 beta=90.00 gamma=90.00
With the nearest neighbours (Å) after each atom.
Atoms (fractional coordinates):
Ac 0.0000 0.0000 0.0000  8 Au 3.18
Zr 0.5000 0.5000 0.0000  8 Au 3.18
Au 0.0000 0.5000 0.5000  4 Zr 3.18, 4 Ac 3.18
Au 0.5000 0.0000 0.5000  4 Zr 3.18, 4 Ac 3.18

Results
total moment	0.805	μB per cell
density of states at the Fermi level	3.7	states/eV/cell
space-group type	P4/mmm, No. 123
polymorph energy (0 for the lowest one)	0.116	eV per atom


AcZrAu2 | GGA-PBE | relaxed

Unit cell a=3.5969 b=3.5969 c=7.5919 alpha=90.00 beta=90.00 gamma=90.00
With the nearest neighbours (Å) after each atom.
Atoms (fractional coordinates):
Ac 0.0000 0.0000 0.0000  8 Au 3.41, 4 Ac 3.60, 2 Zr 3.80
Zr 0.0000 0.0000 0.5000  8 Au 2.96
Au 0.5000 0.5000 0.2993  4 Zr 2.96, 1 Au 3.05
Au 0.5000 0.5000 0.7007  4 Zr 2.96, 1 Au 3.05

Results
total moment	0.506	μB per cell
density of states at the Fermi level	4.2	states/eV/cell
space-group type	P4/mmm, No. 123
polymorph energy (0 for the lowest one)	0.021	eV per atom


AcZrAu | GGA-PBE | relaxed

Unit cell a=6.7870 b=6.7870 c=6.7870 alpha=148.96 beta=148.96 gamma=44.47
With the nearest neighbours (Å) after each atom.
Atoms (fractional coordinates):
Ac 0.0000 0.0000 0.0000  5 Au 3.54-3.85, 5 Zr 3.60-3.76, 4 Ac 3.63
Zr 0.2996 0.2996 0.0000  4 Au 2.89
Au 0.6934 0.6934 0.0000  4 Zr 2.89

Results
total moment	0.000	μB per cell
density of states at the Fermi level	4.4	states/eV/cell
space-group type	I4mm, No. 107
polymorph energy (0 for the lowest one)	0.121	eV per atom


AcZrAu2 | GGA-PBE | relaxed

Unit cell a=6.1018 b=6.1018 c=6.1018 alpha=46.17 beta=46.17 gamma=46.17
With the nearest neighbours (Å) after each atom.
Atoms (fractional coordinates):
Ac 0.0000 0.0000 0.0000  8 Au 3.38-3.44
Zr 0.5000 0.5000 0.5000  6 Au 2.84
Au 0.2073 0.2073 0.2073  3 Zr 2.84, 3 Au 3.06
Au 0.7927 0.7927 0.7927  3 Zr 2.84, 3 Au 3.06

Results
total moment	0.000	μB per cell
density of states at the Fermi level	4.4	states/eV/cell
space-group type	R-3m, No. 166
polymorph energy (0 for the lowest one)	0.000	eV per atom


AcB | GGA-PBE | relaxed

Unit cell a=3.9296 b=3.3541 c=7.7887 alpha=90.00 beta=104.45 gamma=90.00
With the nearest neighbours (Å) after each atom.
Atoms (fractional coordinates):
Ac 0.1210 0.2500 0.2448  6 B 2.86-3.05
Ac 0.8790 0.7500 0.7552  6 B 2.86-3.05
B 0.4847 0.2500 0.9692  2 B 1.74
B 0.5153 0.7500 0.0308  2 B 1.74

Results
total moment	0.000	μB per cell
density of states at the Fermi level	4.0	states/eV/cell
space-group type	P2_1/m, No. 11
polymorph energy (0 for the lowest one)	0.000	eV per atom


AcB12 | GGA-PBE | relaxed

Unit cell a=5.4650 b=5.4650 c=5.4650 alpha=60.00 beta=60.00 gamma=60.00
With the nearest neighbours (Å) after each atom.
Atoms (fractional coordinates):
Ac 0.0000 0.0000 0.0000  24 B 2.88
B 0.1656 0.5000 0.5000  5 B 1.81-1.83
B 0.1656 0.5000 0.8344  5 B 1.81-1.83
B 0.1656 0.8344 0.5000  5 B 1.81-1.83
B 0.5000 0.1656 0.5000  5 B 1.81-1.83
B 0.5000 0.1656 0.8344  5 B 1.81-1.83
B 0.5000 0.5000 0.1656  5 B 1.81-1.83
B 0.5000 0.5000 0.8344  5 B 1.81-1.83
B 0.5000 0.8344 0.1656  5 B 1.81-1.83
B 0.5000 0.8344 0.5000  5 B 1.81-1.83
B 0.8344 0.1656 0.5000  5 B 1.81-1.83
B 0.8344 0.5000 0.1656  5 B 1.81-1.83
B 0.8344 0.5000 0.5000  5 B 1.81-1.83

Results
total moment	0.000	μB per cell
density of states at the Fermi level	4.7	states/eV/cell
space-group type	Fm-3m, No. 225
uncorrected energy	-6.548	eV/atom